1.
## Sr3AsN (PBE)

Data for Sr3AsN after structural relaxation.

Values from the calculation:
The calculation puts the total energy at -0.327 Ry per atom. The value obtained for the theoretical density is 4.326 g cm⁻³. Its space group is P6_3/mmc (194). The calculation puts the formation energy (no corrections) at -0.848 eV/atom. The excess energy over the best structure of this formula in the dataset comes out at 0.058 eV per atom.

Cell lengths 6.2751, 7.0497, 7.0497 Å; angles 120.00, 90.00, 90.00 degrees
Sites, in units of the cell vectors:
Sr 0.7500 0.8407 0.6814
Sr 0.2500 0.1593 0.8407
Sr 0.7500 0.3186 0.1593
Sr 0.2500 0.6814 0.8407
Sr 0.2500 0.1593 0.3186
Sr 0.7500 0.8407 0.1593
As 0.7500 0.3333 0.6667
As 0.2500 0.6667 0.3333
N 0.5000 0.0000 0.0000
N 0.0000 0.0000 0.0000



2.
## Sr3AsN (PBE)

Data for Sr3AsN after structural relaxation.

Values from the calculation:
The calculation puts the total energy at -0.281 Ry per atom. The value obtained for the theoretical density is 3.784 g cm⁻³. Its space group is I-4m2 (119). The calculation puts the formation energy (no corrections) at -0.213 eV/atom. The excess energy over the best structure of this formula in the dataset comes out at 0.693 eV per atom.

Cell lengths 6.2414, 6.2414, 9.0709 Å; angles 69.88, 69.88, 90.00 degrees
Sites, in units of the cell vectors:
Sr 0.1736 0.9082 0.1835
Sr 0.0918 0.8264 0.8165
Sr 0.0918 0.3572 0.8165
Sr 0.6428 0.9082 0.1835
Sr 0.2952 0.2952 0.4095
Sr 0.7048 0.7048 0.5905
As 0.6135 0.1135 0.7730
As 0.8865 0.3865 0.2270
N 0.0000 0.0000 0.0000
N 0.2500 0.7500 0.5000



3.
## SrTc2AsN2 (PBE)

Data for SrTc2AsN2 after structural relaxation.

Values from the calculation:
The calculation puts the total energy at -0.561 Ry per atom. The value obtained for the theoretical density is 5.384 g cm⁻³. Its space group is P2_1/m (11). The calculation puts the formation energy (no corrections) at -0.354 eV/atom.

Cell lengths 5.2845, 6.4634, 7.4023 Å; angles 109.42, 90.00, 90.00 degrees
Sites, in units of the cell vectors:
Sr 0.7500 0.3369 0.6669
Sr 0.2500 0.6631 0.3331
Tc 0.4989 0.1245 0.1951
Tc 0.0011 0.1245 0.1951
Tc 0.9989 0.8755 0.8049
Tc 0.5011 0.8755 0.8049
As 0.2500 0.2310 0.9467
As 0.7500 0.7690 0.0533
N 0.2500 0.0545 0.3520
N 0.2500 0.6574 0.6886
N 0.7500 0.9455 0.6480
N 0.7500 0.3426 0.3114



4.
## SrTe2AsN (PBE)

Data for SrTe2AsN after structural relaxation.

Values from the calculation:
The calculation puts the total energy at -0.306 Ry per atom. The value obtained for the theoretical density is 5.466 g cm⁻³. Its space group is P4/mmm (123). The calculation puts the formation energy (no corrections) at 0.029 eV/atom. The excess energy over the best structure of this formula in the dataset comes out at 0.000 eV per atom.

Cell lengths 5.9043, 5.9043, 3.7622 Å; angles 90.00, 90.00, 90.00 degrees
Each line ends with the local moment (μB).
Sites, in units of the cell vectors:
Sr 0.5000 0.5000 0.5000  0.00
As 0.0000 0.0000 0.0000  -0.01
Te 0.0000 0.5000 0.0000  0.04
Te 0.5000 0.0000 0.0000  0.04
N 0.0000 0.0000 0.5000  0.18



5.
## Sr4TeAsN (PBE)

Data for Sr4TeAsN after structural relaxation.

Values from the calculation:
The calculation puts the total energy at -0.323 Ry per atom. The value obtained for the theoretical density is 4.427 g cm⁻³. Its space group is Cmcm (63). The calculation puts the formation energy (no corrections) at -1.131 eV/atom.

Cell lengths 7.1675, 7.1694, 9.0208 Å; angles 90.00, 113.41, 90.00 degrees
Sites, in units of the cell vectors:
Sr 0.9059 0.2500 0.8118
Sr 0.4203 0.7500 0.8405
Sr 0.0941 0.7500 0.1882
Sr 0.5797 0.2500 0.1595
Sr 0.5000 0.5000 0.5000
Sr 0.0000 0.0000 0.5000
Sr 0.5000 0.0000 0.5000
Sr 0.0000 0.5000 0.5000
Te 0.1069 0.2500 0.2138
Te 0.8931 0.7500 0.7862
As 0.6137 0.7500 0.2274
As 0.3863 0.2500 0.7726
N 0.2465 0.7500 0.4930
N 0.7535 0.2500 0.5070



6.
## SrTe2AsN (PBE)

Data for SrTe2AsN after structural relaxation.

Values from the calculation:
The calculation puts the total energy at -0.223 Ry per atom. The value obtained for the theoretical density is 4.428 g cm⁻³. Its space group is P4/mmm (123). The calculation puts the formation energy (no corrections) at 1.148 eV/atom. The excess energy over the best structure of this formula in the dataset comes out at 1.119 eV per atom.

Cell lengths 6.1512, 6.1512, 4.2790 Å; angles 90.00, 90.00, 90.00 degrees
Sites, in units of the cell vectors:
Sr 0.0000 0.0000 0.0000
As 0.5000 0.5000 0.5000
Te 0.0000 0.5000 0.0000
Te 0.5000 0.0000 0.0000
N 0.0000 0.0000 0.5000



7.
## Sr2Th4As3N2 (PBE)

Data for Sr2Th4As3N2 after structural relaxation.

Values from the calculation:
The calculation puts the total energy at -0.511 Ry per atom. The value obtained for the theoretical density is 7.926 g cm⁻³. Its space group is I4/mmm (139). The calculation puts the formation energy (no corrections) at -1.163 eV/atom.

Cell lengths 4.7962, 4.7962, 12.8087 Å; angles 100.79, 100.79, 90.00 degrees
Sites, in units of the cell vectors:
Sr 0.2998 0.2998 0.5995
Sr 0.7002 0.7002 0.4005
Th 0.4213 0.9213 0.8426
Th 0.9213 0.4213 0.8426
Th 0.0787 0.5787 0.1574
Th 0.5787 0.0787 0.1574
As 0.0000 0.0000 0.0000
As 0.1682 0.1682 0.3364
As 0.8318 0.8318 0.6636
N 0.4025 0.4025 0.8050
N 0.5975 0.5975 0.1950



8.
## SrZn2AsN (PBE)

Data for SrZn2AsN after structural relaxation.

Values from the calculation:
The calculation puts the total energy at -0.284 Ry per atom. The value obtained for the theoretical density is 5.613 g cm⁻³. Its space group is Cmcm (63). The calculation puts the formation energy (no corrections) at -0.429 eV/atom.

Cell lengths 3.9414, 6.5296, 7.4124 Å; angles 90.00, 90.00, 107.57 degrees
Sites, in units of the cell vectors:
Sr 0.4625 0.9251 0.7500
Sr 0.5375 0.0749 0.2500
Zn 0.1505 0.3009 0.9422
Zn 0.8495 0.6991 0.0578
Zn 0.1505 0.3009 0.5578
Zn 0.8495 0.6991 0.4422
As 0.7324 0.4648 0.7500
As 0.2676 0.5352 0.2500
N 0.0000 0.0000 0.0000
N 0.0000 0.0000 0.5000



9.
## Sr2ZnAsN (PBE)

Data for Sr2ZnAsN after structural relaxation.

Values from the calculation:
The calculation puts the total energy at -0.319 Ry per atom. The value obtained for the theoretical density is 4.722 g cm⁻³. Its space group is P2_1/m (11). The calculation puts the formation energy (no corrections) at -0.818 eV/atom. The excess energy over the best structure of this formula in the dataset comes out at 0.000 eV per atom.

Cell lengths 4.0534, 6.9504, 8.6568 Å; angles 108.12, 90.00, 90.00 degrees
Sites, in units of the cell vectors:
Sr 0.7500 0.8156 0.6234
Sr 0.7500 0.7992 0.0338
Sr 0.2500 0.1844 0.3766
Sr 0.2500 0.2008 0.9662
Zn 0.2500 0.5356 0.7506
Zn 0.7500 0.4644 0.2494
As 0.2500 0.6816 0.3016
As 0.7500 0.3184 0.6984
N 0.2500 0.8280 0.8277
N 0.7500 0.1720 0.1723



10.
## Sr2ZnAsN (PBE)

Data for Sr2ZnAsN after structural relaxation.

Values from the calculation:
The calculation puts the total energy at -0.309 Ry per atom. The value obtained for the theoretical density is 4.898 g cm⁻³. Its space group is P4/mmm (123). The calculation puts the formation energy (no corrections) at -0.678 eV/atom. The excess energy over the best structure of this formula in the dataset comes out at 0.139 eV per atom.

Cell lengths 5.3264, 5.3264, 3.9388 Å; angles 90.00, 90.00, 90.00 degrees
Sites, in units of the cell vectors:
Sr 0.0000 0.5000 0.0000
Sr 0.5000 0.0000 0.0000
As 0.5000 0.5000 0.5000
Zn 0.0000 0.0000 0.5000
N 0.0000 0.0000 0.0000



11.
## TaAsN2 (PBE)

Data for TaAsN2 after structural relaxation.

Values from the calculation:
The calculation puts the total energy at -0.639 Ry per atom. The value obtained for the theoretical density is 8.647 g cm⁻³. Its space group is R-3m (166). The calculation puts the formation energy (no corrections) at -0.406 eV/atom.

Cell lengths 6.7711, 6.7711, 6.7711 Å; angles 26.51, 26.51, 26.51 degrees
Sites, in units of the cell vectors:
As 0.0000 0.0000 0.0000
N 0.8898 0.8898 0.8898
N 0.1102 0.1102 0.1102
Ta 0.5000 0.5000 0.5000



12.
## TaAs2N (PBE)

Data for TaAs2N after structural relaxation.

Values from the calculation:
The calculation puts the total energy at -0.491 Ry per atom. The value obtained for the theoretical density is 8.623 g cm⁻³. Its space group is I-42d (122). The calculation puts the formation energy (no corrections) at 0.685 eV/atom.

Cell lengths 5.7797, 5.7797, 5.7014 Å; angles 59.54, 59.54, 90.00 degrees
Sites, in units of the cell vectors:
As 0.5509 0.1250 0.2500
As 0.1991 0.6250 0.2500
As 0.3750 0.4491 0.7500
As 0.8750 0.8009 0.7500
N 0.5000 0.5000 0.0000
N 0.2500 0.7500 0.5000
Ta 0.0000 0.0000 0.0000
Ta 0.7500 0.2500 0.5000



13.
## TaAs3N (PBE)

Data for TaAs3N after structural relaxation.

Values from the calculation:
The calculation puts the total energy at -0.451 Ry per atom. The value obtained for the theoretical density is 8.941 g cm⁻³. Its space group is Pm-3m (221). The calculation puts the formation energy (no corrections) at 0.688 eV/atom. The excess energy over the best structure of this formula in the dataset comes out at 0.000 eV per atom.

Cell lengths 4.2717, 4.2717, 4.2717 Å; angles 90.00, 90.00, 90.00 degrees
Sites, in units of the cell vectors:
As 0.0000 0.5000 0.0000
As 0.0000 0.0000 0.5000
As 0.5000 0.0000 0.0000
N 0.0000 0.0000 0.0000
Ta 0.5000 0.5000 0.5000



14.
## TaAsN2 (PBE)

Data for TaAsN2 after structural relaxation.

Values from the calculation:
The calculation puts the total energy at -0.605 Ry per atom. The value obtained for the theoretical density is 7.403 g cm⁻³. Its space group is I-42d (122). The calculation puts the formation energy (no corrections) at 0.058 eV/atom.

Cell lengths 5.2502, 5.2502, 5.9271 Å; angles 63.71, 63.71, 90.00 degrees
Sites, in units of the cell vectors:
As 0.5000 0.5000 0.0000
As 0.2500 0.7500 0.5000
N 0.7077 0.1250 0.2500
N 0.0423 0.6250 0.2500
N 0.3750 0.2923 0.7500
N 0.8750 0.9577 0.7500
Ta 0.0000 0.0000 0.0000
Ta 0.7500 0.2500 0.5000



15.
## TaAs3N (PBE)

Data for TaAs3N after structural relaxation.

Values from the calculation:
The calculation puts the total energy at -0.409 Ry per atom. The value obtained for the theoretical density is 5.588 g cm⁻³. Its space group is Pm-3m (221). The calculation puts the formation energy (no corrections) at 1.259 eV/atom. The excess energy over the best structure of this formula in the dataset comes out at 0.571 eV per atom.

Cell lengths 4.9963, 4.9963, 4.9963 Å; angles 90.00, 90.00, 90.00 degrees
Each line ends with the local moment (μB).
Sites, in units of the cell vectors:
As 0.0000 0.5000 0.0000  -0.10
As 0.0000 0.0000 0.5000  -0.20
As 0.5000 0.0000 0.0000  -0.07
N 0.5000 0.5000 0.5000  1.71
Ta 0.0000 0.0000 0.0000  0.09



16.
## TaAsN (PBE)

Data for TaAsN after structural relaxation.

Values from the calculation:
The calculation puts the total energy at -0.649 Ry per atom. The value obtained for the theoretical density is 9.372 g cm⁻³. Its space group is Pmmm (47). The calculation puts the formation energy (no corrections) at -0.554 eV/atom.

Cell lengths 6.2205, 4.1828, 6.2205 Å; angles 70.20, 57.02, 109.80 degrees
Sites, in units of the cell vectors:
Ta 0.3659 0.0000 0.6341
Ta 0.8659 0.0000 0.1341
N 0.3659 0.5000 0.6341
N 0.8659 0.5000 0.1341
As 0.1159 0.0000 0.3841
As 0.6159 0.0000 0.8841



17.
## Tb3As2N (PBE)

Data for Tb3As2N after structural relaxation.

Values from the calculation:
The calculation puts the total energy at -0.479 Ry per atom. The value obtained for the theoretical density is 7.832 g cm⁻³. Its space group is Cmcm (63). The calculation puts the formation energy (no corrections) at -1.271 eV/atom.

Cell lengths 6.4540, 6.6664, 6.6664 Å; angles 108.72, 90.00, 90.00 degrees
Sites, in units of the cell vectors:
Tb 0.2500 0.3685 0.3685
Tb 0.7500 0.6315 0.6315
Tb 0.5000 0.1542 0.8458
Tb 0.0000 0.1542 0.8458
Tb 0.5000 0.8458 0.1542
Tb 0.0000 0.8458 0.1542
As 0.7500 0.4802 0.1597
As 0.2500 0.5198 0.8403
As 0.2500 0.8403 0.5198
As 0.7500 0.1597 0.4802
N 0.7500 0.9201 0.9201
N 0.2500 0.0799 0.0799



18.
## Tb5As4N (PBE)

Data for Tb5As4N after structural relaxation.

Values from the calculation:
The calculation puts the total energy at -0.474 Ry per atom. The value obtained for the theoretical density is 7.888 g cm⁻³. Its space group is I4 (79). The calculation puts the formation energy (no corrections) at -1.438 eV/atom.

Cell lengths 5.8243, 6.9671, 6.9671 Å; angles 79.94, 65.29, 65.29 degrees
Sites, in units of the cell vectors:
Tb 0.9067 0.3690 0.8182
Tb 0.2757 0.8182 0.6310
Tb 0.7249 0.1818 0.3690
Tb 0.0938 0.6310 0.1818
Tb 0.4425 0.0000 0.0000
As 0.4102 0.3955 0.7914
As 0.8057 0.7914 0.6045
As 0.2016 0.2086 0.3955
As 0.5971 0.6045 0.2086
N 0.0520 0.0000 0.0000



19.
## Tb4Te2AsN (PBE)

Data for Tb4Te2AsN after structural relaxation.

Values from the calculation:
The calculation puts the total energy at -0.449 Ry per atom. The value obtained for the theoretical density is 8.287 g cm⁻³. Its space group is P2/m (10). The calculation puts the formation energy (no corrections) at -1.386 eV/atom.

Cell lengths 4.0070, 6.9836, 7.3911 Å; angles 108.33, 90.00, 90.00 degrees
Sites, in units of the cell vectors:
Tb 0.5000 0.2099 0.1951
Tb 0.5000 0.7901 0.8049
Tb 0.0000 0.2325 0.8005
Tb 0.0000 0.7675 0.1995
Te 0.5000 0.0000 0.5000
Te 0.0000 0.5000 0.5000
As 0.5000 0.5000 0.0000
N 0.0000 0.0000 0.0000



20.
## TbUAsN2 (PBE)

Data for TbUAsN2 after structural relaxation.

Values from the calculation:
The calculation puts the total energy at -0.646 Ry per atom. The value obtained for the theoretical density is 9.545 g cm⁻³. Its space group is I4mm (107). The calculation puts the formation energy (no corrections) at -1.351 eV/atom.

Cell lengths 3.8198, 3.8198, 6.5440 Å; angles 106.97, 106.97, 90.00 degrees
Sites, in units of the cell vectors:
Tb 0.8494 0.8494 0.6988
U 0.1588 0.1588 0.3176
As 0.5110 0.5110 0.0219
N 0.7404 0.2404 0.4809
N 0.2404 0.7404 0.4809